1.
Computed, not measured: a relaxed Tl2Ni3PbF12 crystal at the PBE with a Hubbard U level of DFT.

Cell lengths 6.590, 6.590, 6.590 Å; angles 69.81, 69.81, 69.81 degrees
Fractional positions:
Tl  0.099  0.099  0.099
Tl  0.901  0.901  0.901
Ni  0.000  0.500  0.500
Ni  0.500  0.000  0.500
Ni  0.500  0.500  0.000
Pb  0.500  0.500  0.500
F  0.055  0.671  0.671
F  0.234  0.234  0.617
F  0.234  0.617  0.234
F  0.329  0.329  0.945
F  0.329  0.945  0.329
F  0.383  0.766  0.766
F  0.617  0.234  0.234
F  0.671  0.055  0.671
F  0.671  0.671  0.055
F  0.766  0.383  0.766
F  0.766  0.766  0.383
F  0.945  0.329  0.329

Output
Total moment in μB/cell: 6.06
Raw total energy in eV/atom: -4.162

=====

2.
Computed, not measured: a relaxed Tl3Ni2PbF9 crystal at the PBE with a Hubbard U level of DFT.

Cell lengths 6.073, 6.073, 7.823 Å; angles 90.00, 90.00, 120.00 degrees
Fractional positions:
Tl  0.000  0.000  0.000
Tl  0.333  0.667  0.706
Tl  0.667  0.333  0.294
Ni  0.333  0.667  0.151
Ni  0.667  0.333  0.849
Pb  0.000  0.000  0.500
F  0.000  0.500  0.000
F  0.177  0.355  0.299
F  0.177  0.823  0.299
F  0.355  0.177  0.701
F  0.500  0.000  0.000
F  0.500  0.500  0.000
F  0.645  0.823  0.299
F  0.823  0.177  0.701
F  0.823  0.645  0.701

Output
Total moment in μB/cell: 4.00
Raw total energy in eV/atom: -4.233

=====

3.
Computed, not measured: a relaxed VNiPbF6 crystal at the PBE with a Hubbard U level of DFT.

Cell lengths 5.481, 5.481, 10.516 Å; angles 90.00, 90.00, 120.00 degrees
Fractional positions:
V  0.333  0.667  0.250
V  0.667  0.333  0.750
Ni  0.333  0.667  0.750
Ni  0.667  0.333  0.250
Pb  0.000  0.000  0.000
Pb  0.000  0.000  0.500
F  0.012  0.368  0.644
F  0.012  0.644  0.856
F  0.356  0.368  0.856
F  0.356  0.988  0.644
F  0.368  0.012  0.144
F  0.368  0.356  0.356
F  0.632  0.644  0.644
F  0.632  0.988  0.856
F  0.644  0.012  0.356
F  0.644  0.632  0.144
F  0.988  0.356  0.144
F  0.988  0.632  0.356

Output
Total moment in μB/cell: 10.00
Raw total energy in eV/atom: -5.186

=====

4.
Computed, not measured: a relaxed YNiPb2F crystal at the PBE with a Hubbard U level of DFT.

Cell lengths 5.399, 5.399, 3.947 Å; angles 90.00, 90.00, 90.00 degrees
Fractional positions:
Y  0.000  0.000  0.000
Ni  0.500  0.500  0.000
Pb  0.000  0.500  0.500
Pb  0.500  0.000  0.500
F  0.500  0.500  0.500

Output
Total moment in μB/cell: 0.94
Raw total energy in eV/atom: -4.144

=====

5.
Computed, not measured: a relaxed Y2NiPbF crystal at the PBE with a Hubbard U level of DFT.

Cell lengths 5.344, 5.344, 4.752 Å; angles 90.00, 90.00, 90.00 degrees
Fractional positions:
Y  0.000  0.500  0.000
Y  0.500  0.000  0.000
Ni  0.000  0.000  0.000
Pb  0.000  0.000  0.500
F  0.500  0.500  0.500

Output
Total moment in μB/cell: 1.03
Raw total energy in eV/atom: -4.453

=====

6.
Computed, not measured: a relaxed ZnNi2PbF8 crystal at the PBE with a Hubbard U level of DFT.

Cell lengths 4.957, 6.646, 5.019 Å; angles 90.00, 91.71, 90.00 degrees
Fractional positions:
Zn  0.000  0.000  0.000
Ni  0.500  0.235  0.500
Ni  0.500  0.765  0.500
Pb  0.000  0.500  0.000
F  0.218  0.213  0.206
F  0.218  0.787  0.206
F  0.302  0.000  0.687
F  0.326  0.500  0.658
F  0.674  0.500  0.342
F  0.698  0.000  0.313
F  0.782  0.213  0.794
F  0.782  0.787  0.794

Output
Total moment in μB/cell: 3.98
Raw total energy in eV/atom: -4.292